(1)
A relaxed structure of La2Pm5Dy2, computed with GGA-PBE.

Computed properties:
Its energy above the most stable polymorph in this dataset is 0 meV per atom. For the raw total energy, the calculation gives -42.65 eV/cell. The value obtained for the density of states at the Fermi level is 1.61 states/eV per atom.

a = 3.6483 Å, b = 9.6435 Å, c = 9.6653 Å
α = 69.18°, β = 79.14°, γ = 79.24°
Fractional positions:
La (0.1659, 0.0007, 0.1680)
La (0.8341, 0.9993, 0.8320)
Pm (0.2773, 0.3368, 0.6084)
Pm (0.3910, 0.6614, 0.0564)
Pm (0.5000, 0.0000, 0.5000)
Pm (0.6090, 0.3386, 0.9436)
Pm (0.7227, 0.6632, 0.3916)
Dy (0.0564, 0.6662, 0.7215)
Dy (0.9436, 0.3338, 0.2785)

(2)
A relaxed structure of LiHfBi2, computed with GGA-PBE.

Computed properties:
Its energy above the most stable polymorph in this dataset is 129 meV per atom. For the raw total energy, the calculation gives -19.88 eV/cell. The value obtained for the density of states at the Fermi level is 0.70 states/eV per atom.

a = 10.3799 Å, b = 10.3799 Å, c = 10.3799 Å
α = 19.61°, β = 19.61°, γ = 19.61°
Fractional positions:
Li (0.0000, 0.0000, 0.0000)
Hf (0.5000, 0.5000, 0.5000)
Bi (0.0912, 0.0912, 0.0912)
Bi (0.9088, 0.9088, 0.9088)

(3)
A relaxed structure of K2NpCuI6, computed with GGA-PBE.

Computed properties:
As for the uncorrected formation energy: -915 meV/atom. For the raw total energy, the calculation gives -75.37 eV/cell. The value obtained for the density of states at the Fermi level is 0.50 states/eV per atom.

a = 8.4792 Å, b = 9.4672 Å, c = 13.5400 Å
α = 90.00°, β = 127.89°, γ = 90.00°
Fractional positions:
K (0.2176, 0.1007, 0.2465)
K (0.2176, 0.3993, 0.7465)
K (0.7824, 0.6007, 0.2535)
K (0.7824, 0.8993, 0.7535)
Np (0.0000, 0.0000, 0.5000)
Np (0.0000, 0.5000, 0.0000)
Cu (0.5000, 0.0000, 0.0000)
Cu (0.5000, 0.5000, 0.5000)
I (0.1156, 0.2129, 0.9511)
I (0.1156, 0.2871, 0.4511)
I (0.2500, 0.6650, 0.9432)
I (0.2500, 0.8350, 0.4432)
I (0.3906, 0.0320, 0.7838)
I (0.3906, 0.4680, 0.2838)
I (0.6093, 0.5320, 0.7162)
I (0.6093, 0.9680, 0.2162)
I (0.7500, 0.1650, 0.5568)
I (0.7500, 0.3350, 0.0568)
I (0.8844, 0.7129, 0.5489)
I (0.8844, 0.7871, 0.0489)

(4)
A relaxed structure of TaVRh, computed with GGA-PBE.

Computed properties:
Its energy above the most stable polymorph in this dataset is 90 meV per atom. For the raw total energy, the calculation gives -58.03 eV/cell. The value obtained for the density of states at the Fermi level is 0.95 states/eV per atom.

a = 4.4223 Å, b = 4.4223 Å, c = 5.4293 Å
α = 90.00°, β = 90.00°, γ = 120.00°
Fractional positions:
Ta (0.3333, 0.6667, 0.3401)
Ta (0.6667, 0.3333, 0.6599)
V (0.0000, 0.0000, 0.0000)
V (0.0000, 0.0000, 0.5000)
Rh (0.3333, 0.6667, 0.8442)
Rh (0.6667, 0.3333, 0.1558)

(5)
A relaxed structure of KPt2O6, computed with GGA-PBE.

Computed properties:
As for the uncorrected formation energy: -579 meV/atom. For the raw total energy, the calculation gives -48.14 eV/cell. The value obtained for the density of states at the Fermi level is 0.75 states/eV per atom.

a = 5.3356 Å, b = 5.3356 Å, c = 5.9469 Å
α = 90.00°, β = 90.00°, γ = 120.00°
Fractional positions:
K (0.0000, 0.0000, 0.0000)
Pt (0.3333, 0.6667, 0.5000)
Pt (0.6667, 0.3333, 0.5000)
O (0.0000, 0.3865, 0.6841)
O (0.0000, 0.6135, 0.3159)
O (0.3865, 0.0000, 0.6841)
O (0.3865, 0.3865, 0.3159)
O (0.6135, 0.0000, 0.3159)
O (0.6135, 0.6135, 0.6841)

(6)
A relaxed structure of MoAuCl2, computed with GGA-PBE.

Computed properties:
Its energy above the most stable polymorph in this dataset is 214 meV per atom. As for the uncorrected formation energy: 20 meV/atom. For the raw total energy, the calculation gives -17.72 eV/cell. The value obtained for the density of states at the Fermi level is 0.46 states/eV per atom.

a = 3.1432 Å, b = 3.1432 Å, c = 11.2955 Å
α = 90.00°, β = 90.00°, γ = 124.77°
Fractional positions:
Mo (0.0000, 0.0000, 0.0000)
Au (0.0000, 0.0000, 0.5000)
Cl (0.5000, 0.5000, 0.1717)
Cl (0.5000, 0.5000, 0.8283)

(7)
A relaxed structure of NiAs, computed with GGA-PBE.

Computed properties:
For the raw total energy, the calculation gives -63.55 eV/cell. The value obtained for the density of states at the Fermi level is 0.39 states/eV per atom.

a = 3.8374 Å, b = 3.8374 Å, c = 14.6938 Å
α = 90.00°, β = 90.00°, γ = 120.00°
Fractional positions:
Ni (0.0000, 0.0000, 0.2228)
Ni (0.0000, 0.0000, 0.7772)
Ni (0.3333, 0.6667, 0.1303)
Ni (0.3333, 0.6667, 0.4625)
Ni (0.6667, 0.3333, 0.5375)
Ni (0.6667, 0.3333, 0.8697)
As (0.0000, 0.0000, 0.4017)
As (0.0000, 0.0000, 0.5983)
As (0.3333, 0.6667, 0.7473)
As (0.3333, 0.6667, 0.9300)
As (0.6667, 0.3333, 0.0700)
As (0.6667, 0.3333, 0.2527)

(8)
A relaxed structure of PaGaP2Ir5, computed with GGA-PBE.

Computed properties:
For the raw total energy, the calculation gives -71.96 eV/cell. The value obtained for the density of states at the Fermi level is 0.49 states/eV per atom.

a = 3.9213 Å, b = 3.9213 Å, c = 11.1922 Å
α = 90.00°, β = 90.00°, γ = 90.00°
Fractional positions:
Pa (0.0000, 0.0000, 0.0000)
Ga (0.0000, 0.0000, 0.5000)
P (0.5000, 0.5000, 0.2950)
P (0.5000, 0.5000, 0.7050)
Ir (0.0000, 0.5000, 0.1845)
Ir (0.0000, 0.5000, 0.8155)
Ir (0.5000, 0.0000, 0.1845)
Ir (0.5000, 0.0000, 0.8155)
Ir (0.5000, 0.5000, 0.5000)

(9)
A relaxed structure of SbTeIr, computed with GGA-PBE.

Computed properties:
As for the uncorrected formation energy: -405 meV/atom. For the raw total energy, the calculation gives -69.36 eV/cell. The value obtained for the density of states at the Fermi level is 0.03 states/eV per atom.

a = 6.7396 Å, b = 6.4760 Å, c = 6.7270 Å
α = 90.00°, β = 104.68°, γ = 90.00°
Fractional positions:
Sb (0.1355, 0.1343, 0.3641)
Sb (0.1355, 0.3657, 0.8641)
Sb (0.8645, 0.6343, 0.1359)
Sb (0.8645, 0.8657, 0.6359)
Te (0.3562, 0.6293, 0.6447)
Te (0.3562, 0.8707, 0.1447)
Te (0.6438, 0.1293, 0.8553)
Te (0.6438, 0.3707, 0.3553)
Ir (0.2484, 0.0028, 0.7504)
Ir (0.2484, 0.4972, 0.2504)
Ir (0.7516, 0.5028, 0.7496)
Ir (0.7516, 0.9972, 0.2496)

(10)
A relaxed structure of Sc2MnCr, computed with GGA-PBE.

Computed properties:
Its energy above the most stable polymorph in this dataset is 128 meV per atom. For the raw total energy, the calculation gives -30.65 eV/cell. The value obtained for the density of states at the Fermi level is 1.11 states/eV per atom.

a = 3.2433 Å, b = 3.3699 Å, c = 6.4271 Å
α = 90.00°, β = 90.00°, γ = 90.00°
Fractional positions:
Sc (0.0000, 0.0000, 0.2464)
Sc (0.0000, 0.0000, 0.7536)
Mn (0.5000, 0.5000, 0.0000)
Cr (0.5000, 0.5000, 0.5000)

(11)
A relaxed structure of NbGaRh3, computed with GGA-PBE.

Computed properties:
Its energy above the most stable polymorph in this dataset is 653 meV per atom. For the raw total energy, the calculation gives -32.33 eV/cell. The value obtained for the density of states at the Fermi level is 1.70 states/eV per atom.

a = 4.4626 Å, b = 4.4626 Å, c = 4.4626 Å
α = 90.00°, β = 90.00°, γ = 90.00°
Fractional positions:
Nb (0.0000, 0.0000, 0.0000)
Ga (0.5000, 0.5000, 0.5000)
Rh (0.0000, 0.5000, 0.5000)
Rh (0.5000, 0.0000, 0.5000)
Rh (0.5000, 0.5000, 0.0000)

(12)
A relaxed structure of CaMn2P, computed with GGA-PBE.

Computed properties:
For the raw total energy, the calculation gives -24.78 eV/cell. The value obtained for the density of states at the Fermi level is 0.44 states/eV per atom.

a = 4.4490 Å, b = 4.4490 Å, c = 4.4490 Å
α = 119.93°, β = 119.93°, γ = 90.11°
Fractional positions:
Ca (0.0000, 0.0000, 0.0000)
Mn (0.2500, 0.7500, 0.5000)
Mn (0.5000, 0.5000, 0.0000)
P (0.7500, 0.2500, 0.5000)

(13)
A relaxed structure of ThGa2Rh5Au, computed with GGA-PBE.

Computed properties:
For the raw total energy, the calculation gives -56.46 eV/cell. The value obtained for the density of states at the Fermi level is 0.81 states/eV per atom.

a = 4.1234 Å, b = 4.1234 Å, c = 9.2432 Å
α = 90.00°, β = 90.00°, γ = 90.00°
Fractional positions:
Th (0.0000, 0.0000, 0.0000)
Ga (0.5000, 0.5000, 0.3688)
Ga (0.5000, 0.5000, 0.6312)
Rh (0.0000, 0.5000, 0.2203)
Rh (0.0000, 0.5000, 0.7797)
Rh (0.5000, 0.0000, 0.2203)
Rh (0.5000, 0.0000, 0.7797)
Rh (0.5000, 0.5000, 0.0000)
Au (0.0000, 0.0000, 0.5000)

(14)
A relaxed structure of CsSmCdSe3, computed with GGA-PBE.

Computed properties:
As for the uncorrected formation energy: -1375 meV/atom. For the raw total energy, the calculation gives -50.38 eV/cell. The value obtained for the density of states at the Fermi level is 0.00 states/eV per atom.

a = 4.3612 Å, b = 11.3569 Å, c = 8.4631 Å
α = 90.00°, β = 104.91°, γ = 90.00°
Fractional positions:
Cs (0.2454, 0.2500, 0.4887)
Cs (0.7546, 0.7500, 0.5113)
Sm (0.5000, 0.0000, 0.0000)
Sm (0.5000, 0.5000, 0.0000)
Cd (0.0385, 0.7500, 0.0769)
Cd (0.9615, 0.2500, 0.9231)
Se (0.1186, 0.5494, 0.2375)
Se (0.1186, 0.9506, 0.2375)
Se (0.4388, 0.7500, 0.8776)
Se (0.5612, 0.2500, 0.1224)
Se (0.8814, 0.0494, 0.7625)
Se (0.8814, 0.4506, 0.7625)

(15)
A relaxed structure of AcPuBiPd, computed with GGA-PBE.

Computed properties:
For the raw total energy, the calculation gives -29.27 eV/cell. The value obtained for the density of states at the Fermi level is 3.75 states/eV per atom.

a = 5.4990 Å, b = 5.4990 Å, c = 5.4990 Å
α = 60.00°, β = 60.00°, γ = 60.00°
Fractional positions:
Ac (0.0000, 0.0000, 0.0000)
Pu (0.5000, 0.5000, 0.5000)
Bi (0.7500, 0.7500, 0.7500)
Pd (0.2500, 0.2500, 0.2500)

(16)
A relaxed structure of MgPd3W, computed with GGA-PBE.

Computed properties:
Its energy above the most stable polymorph in this dataset is 337 meV per atom. For the raw total energy, the calculation gives -24.17 eV/cell. The value obtained for the density of states at the Fermi level is 3.38 states/eV per atom.

a = 4.4758 Å, b = 4.4758 Å, c = 4.4758 Å
α = 90.00°, β = 90.00°, γ = 90.00°
Fractional positions:
Mg (0.0000, 0.0000, 0.0000)
Pd (0.0000, 0.0000, 0.5000)
Pd (0.0000, 0.5000, 0.0000)
Pd (0.5000, 0.0000, 0.0000)
W (0.5000, 0.5000, 0.5000)

(17)
A relaxed structure of MgFe2Br, computed with GGA-PBE.

Computed properties:
Its energy above the most stable polymorph in this dataset is 0 meV per atom. As for the uncorrected formation energy: 113 meV/atom. For the raw total energy, the calculation gives -19.74 eV/cell. The value obtained for the density of states at the Fermi level is 0.36 states/eV per atom.

a = 3.1866 Å, b = 7.0286 Å, c = 7.0286 Å
α = 26.61°, β = 90.00°, γ = 90.00°
Fractional positions:
Mg (0.0000, 0.0000, 0.0000)
Fe (0.0000, 0.1970, 0.1970)
Fe (0.5000, 0.6247, 0.6247)
Br (0.5000, 0.3715, 0.3715)

(18)
A relaxed structure of KRbAu4, computed with GGA-PBE.

Computed properties:
Its energy above the most stable polymorph in this dataset is 27 meV per atom. For the raw total energy, the calculation gives -16.54 eV/cell. The value obtained for the density of states at the Fermi level is 0.26 states/eV per atom.

a = 6.7090 Å, b = 6.7090 Å, c = 6.7090 Å
α = 139.09°, β = 104.06°, γ = 90.07°
Fractional positions:
K (0.0000, 0.0000, 0.0000)
Rb (0.5000, 0.5000, 0.0000)
Au (0.0811, 0.7461, 0.3350)
Au (0.4111, 0.7461, 0.6650)
Au (0.5889, 0.2539, 0.3350)
Au (0.9189, 0.2539, 0.6650)

(19)
A relaxed structure of MnNbW2, computed with GGA-PBE.

Computed properties:
Its energy above the most stable polymorph in this dataset is 5 meV per atom. For the raw total energy, the calculation gives -44.69 eV/cell. The value obtained for the density of states at the Fermi level is 1.01 states/eV per atom.

a = 3.1490 Å, b = 3.1490 Å, c = 6.2440 Å
α = 90.00°, β = 90.00°, γ = 90.00°
Fractional positions:
Mn (0.0000, 0.0000, 0.0000)
Nb (0.0000, 0.0000, 0.5000)
W (0.5000, 0.5000, 0.2348)
W (0.5000, 0.5000, 0.7652)

(20)
A relaxed structure of SmTmAl2Zn2, computed with GGA-PBE.

Computed properties:
For the raw total energy, the calculation gives -21.93 eV/cell. The value obtained for the density of states at the Fermi level is 0.53 states/eV per atom.

a = 4.4873 Å, b = 4.4873 Å, c = 7.2283 Å
α = 90.00°, β = 90.00°, γ = 120.00°
Fractional positions:
Sm (0.0000, 0.0000, 0.0000)
Tm (0.0000, 0.0000, 0.5000)
Al (0.3333, 0.6667, 0.7331)
Al (0.6667, 0.3333, 0.2669)
Zn (0.3333, 0.6667, 0.2741)
Zn (0.6667, 0.3333, 0.7259)